(1)
The following is a DFT calculation (GGA-PBE) of an optimized crystal structure of KSrP.

```
KSrP
1.0
5.255 0.000 0.000
0.000 7.533 0.000
0.000 0.000 10.424
K Sr P
4 4 4
direct
0.750 0.044 0.100
0.250 0.544 0.400
0.250 0.956 0.900
0.750 0.456 0.600
0.750 0.536 0.138
0.250 0.036 0.362
0.250 0.464 0.862
0.750 0.964 0.638
0.750 0.805 0.367
0.250 0.305 0.133
0.250 0.195 0.633
0.750 0.695 0.867
```

Results
Energy of formation (eV/f.u.): -2.15
Calculated volume (Å³/cell): 412.6

(2)
The following is a DFT calculation (GGA-PBE) of an optimized crystal structure of ScBeS2Cl.

```
ScBeS2Cl
1.0
4.526 0.000 0.000
0.000 4.526 0.000
0.000 0.000 4.166
Sc Be S Cl
1 1 2 1
direct
0.500 0.500 0.500
0.000 0.000 0.000
0.000 0.500 0.000
0.500 0.000 0.000
0.000 0.000 0.500
```

Results
Excess energy over the best structure of this formula in the dataset (kJ/mol of formula units): 0.0
Energy relative to the elements, uncorrected (eV per formula unit): -3.6
DOS(E_F) (states/eV/f.u.): 0.11
Calculated volume (Å³/cell): 85.3